# GGA-PBE Ba3Ac3ZnO8, optimized geometry
data_Ba3Ac3ZnO8
_space_group_name_H-M_alt 'R -3 m'
_space_group_IT_number 166
_space_group_name_Hall '-R 3 2"'
_cell_length_a 7.4559
_cell_length_b 7.4559
_cell_length_c 19.0119
_cell_angle_alpha 90.00
_cell_angle_beta 90.00
_cell_angle_gamma 120.00
loop_
_atom_site_label
_atom_site_type_symbol
_atom_site_fract_x
_atom_site_fract_y
_atom_site_fract_z
_atom_site_occupancy
Ba1 Ba 0.0000 0.5000 0.0000 1
Ac1 Ac 0.0000 0.5000 0.5000 1
Zn1 Zn 0.0000 0.0000 0.5000 1
O1 O 0.0000 0.0000 0.2411 1
O2 O 0.0229 0.5114 0.2332 1
# total DFT energy (no corrections): -6.41 eV per atom
# magnetization: 0.0 Bohr magnetons per cell
# uncorrected formation energy: -2476 meV/atom
# crystal system: trigonal